Computed, not measured: NbB2MoO after structural relaxation at the PBE with a Hubbard U level of DFT.

extended XYZ file:
```
5
Lattice="3.900 0.000 0.000 0.000 3.891 0.000 0.000 0.000 3.900" Properties=species:S:1:pos:R:3 pbc="T T T"
O 0.000 0.000 0.000
Nb 0.000 1.945 0.000
B 0.000 0.000 1.950
B 1.950 0.000 0.000
Mo 1.950 1.945 1.950
```

Computed properties:
As for the mass density: 6.35 g/cm³. The uncorrected energy comes out at -6.26 eV/atom. For the density of states at the Fermi level, the calculation gives 2.012 states/eV/cell.